# 1
Material: YHoO3
Method: DFT, PBE
State: relaxed

Lattice parameters (Å, degrees): 6.4214 6.4214 12.7586 90.00 90.00 120.00
With the nearest neighbours (Å) after each atom.
Sites, in units of the cell vectors:
Y 0.3333 0.6667 0.2373  6 O 2.36-2.37
Y 0.0000 0.0000 0.2700  7 O 2.31-2.52
Y 0.0000 0.0000 0.7700  7 O 2.31-2.52
Y 0.3333 0.6667 0.7373  6 O 2.36-2.37
Y 0.6667 0.3333 0.7373  6 O 2.36-2.37
Y 0.6667 0.3333 0.2373  6 O 2.36-2.37
Ho 0.0000 0.6670 0.5015  5 O 2.17-2.22
Ho 0.0000 0.3330 0.0015  5 O 2.17-2.22
Ho 0.3330 0.3330 0.5015  5 O 2.17-2.22
Ho 0.6670 0.6670 0.0015  5 O 2.17-2.22
Ho 0.3330 0.0000 0.0015  5 O 2.17-2.22
Ho 0.6670 0.0000 0.5015  5 O 2.17-2.22
O 0.0000 0.6942 0.6749  1 Ho 2.22, 3 Y 2.31-2.37
O 0.0000 0.6360 0.3298  1 Ho 2.20, 3 Y 2.36-2.46
O 0.0000 0.3640 0.8298  1 Ho 2.20, 3 Y 2.36-2.46
O 0.0000 0.3058 0.1749  1 Ho 2.22, 3 Y 2.31-2.37
O 0.3333 0.6667 0.0286  3 Ho 2.17
O 0.0000 0.0000 0.4675  3 Ho 2.18
O 0.0000 0.0000 0.9675  3 Ho 2.18
O 0.3333 0.6667 0.5286  3 Ho 2.17
O 0.3058 0.3058 0.6749  1 Ho 2.22, 3 Y 2.31-2.37
O 0.3640 0.3640 0.3298  1 Ho 2.20, 3 Y 2.36-2.46
O 0.3058 0.0000 0.1749  1 Ho 2.22, 3 Y 2.31-2.37
O 0.6360 0.6360 0.8298  1 Ho 2.20, 3 Y 2.36-2.46
O 0.6942 0.6942 0.1749  1 Ho 2.22, 3 Y 2.31-2.37
O 0.3640 0.0000 0.8298  1 Ho 2.20, 3 Y 2.36-2.46
O 0.6667 0.3333 0.5286  3 Ho 2.17
O 0.6667 0.3333 0.0286  3 Ho 2.17
O 0.6360 0.0000 0.3298  1 Ho 2.20, 3 Y 2.36-2.46
O 0.6942 0.0000 0.6749  1 Ho 2.22, 3 Y 2.31-2.37

Summary:
Final energy in eV/atom: -8.68
Total moment in μB/cell: 0.00
Formation energy from raw total energies in meV per atom: -3495.9
SG: No. 185
ρ in g/cm³: 6.60

=====

# 2
Material: K3Ga5Ge2
Method: DFT, PBE
State: relaxed

Lattice parameters (Å, degrees): 7.0425 9.4685 9.4685 65.54 68.17 68.17
With the nearest neighbours (Å) after each atom.
Sites, in units of the cell vectors:
K 0.2500 0.0000 0.0000  4 Ge 3.24, 6 K 3.52-3.59
K 0.7500 0.0000 0.0000  4 Ge 3.24, 6 K 3.52-3.59
K 0.3762 0.3761 0.8715  1 Ge 3.24, 4 Ga 3.49-3.56, 2 K 3.59
K 0.6238 0.6239 0.1285  1 Ge 3.24, 4 Ga 3.49-3.56, 2 K 3.59
K 0.8762 0.8715 0.3761  1 Ge 3.24, 4 Ga 3.49-3.56, 2 K 3.59
K 0.1238 0.1285 0.6239  1 Ge 3.24, 4 Ga 3.49-3.56, 2 K 3.59
Ga 0.2500 0.5000 0.5000  4 Ga 2.82
Ga 0.7500 0.5000 0.5000  4 Ga 2.82
Ga 0.5121 0.7379 0.7379  2 Ge 2.57, 2 Ga 2.77
Ga 0.9879 0.2621 0.2621  2 Ge 2.57, 2 Ga 2.77
Ga 0.4879 0.2621 0.2621  2 Ge 2.57, 2 Ga 2.77
Ga 0.0121 0.7379 0.7379  2 Ge 2.57, 2 Ga 2.77
Ga 0.1224 0.5095 0.2458  1 Ge 2.56, 4 Ga 2.77-2.82
Ga 0.8776 0.4905 0.7542  1 Ge 2.56, 4 Ga 2.77-2.82
Ga 0.6224 0.2458 0.5095  1 Ge 2.56, 4 Ga 2.77-2.82
Ga 0.3776 0.7542 0.4905  1 Ge 2.56, 4 Ga 2.77-2.82
Ge 0.1670 0.7066 0.9595  3 Ga 2.56-2.57
Ge 0.8330 0.2934 0.0405  3 Ga 2.56-2.57
Ge 0.6670 0.9595 0.7066  3 Ga 2.56-2.57
Ge 0.3330 0.0405 0.2934  3 Ga 2.56-2.57

Summary:
Final energy in eV/atom: -2.84
Total moment in μB/cell: 0.00
Formation energy in eV per atom: -0.0750
SG: No. 72
ρ in g/cm³: 3.94

=====

# 3
Material: NpPd2Pt
Method: DFT, PBE
State: relaxed

Lattice parameters (Å, degrees): 4.6761 4.6761 4.6761 60.00 60.00 60.00
With the nearest neighbours (Å) after each atom.
Sites, in units of the cell vectors:
Np 0.0000 0.0000 0.0000  8 Pd 2.86
Pd 0.2500 0.2500 0.2500  4 Pt 2.86, 4 Np 2.86
Pd 0.7500 0.7500 0.7500  4 Np 2.86, 4 Pt 2.86
Pt 0.5000 0.5000 0.5000  8 Pd 2.86

Summary:
Final energy in eV/atom: -7.69
Total moment in μB/cell: 3.59
Formation energy in eV per atom: -0.3500
SG: No. 225
ρ in g/cm³: 14.81

=====

# 4
Material: Ce2TmAl
Method: DFT, PBE
State: relaxed

Lattice parameters (Å, degrees): 5.0027 6.4383 6.3400 89.90 90.00 90.00
With the nearest neighbours (Å) after each atom.
Sites, in units of the cell vectors:
Ce 0.7500 0.1137 0.0311  3 Ce 2.77-2.93
Ce 0.2500 0.8863 0.9689  3 Ce 2.77-2.93
Ce 0.7500 0.1132 0.4685  3 Ce 2.77-2.92
Ce 0.2500 0.8868 0.5315  3 Ce 2.77-2.92
Tm 0.7500 0.6042 0.2511  4 Al 3.05-3.20
Tm 0.2500 0.3958 0.7489  4 Al 3.05-3.20
Al 0.7500 0.6674 0.7508  4 Tm 3.05-3.20, 6 Ce 3.19-3.38
Al 0.2500 0.3326 0.2492  4 Tm 3.05-3.20, 6 Ce 3.19-3.38

Summary:
Final energy in eV/atom: -5.20
Total moment in μB/cell: 0.25
Formation energy in eV per atom: -0.1809
SG: No. 11
ρ in g/cm³: 7.74